# 1
# ZrTiCdMo PBE relaxed
# - ΔE_f (eV per atom) = 0.041
data_ZrTiCdMo
_chemical_formula_sum 'Zr1 Ti1 Cd1 Mo1'
_space_group_name_H-M_alt 'P 1'
_space_group_IT_number 1
_cell_length_a 4.733
_cell_length_b 4.733
_cell_length_c 4.733
_cell_angle_alpha 60.00
_cell_angle_beta 60.00
_cell_angle_gamma 60.00
loop_
_space_group_symop_operation_xyz
'x,y,z'
loop_
_atom_site_label
_atom_site_fract_x
_atom_site_fract_y
_atom_site_fract_z
_atom_site_occupancy
Mo1 0.000 0.000 0.000 1
Ti1 0.250 0.250 0.250 1
Zr1 0.750 0.750 0.750 1
Cd1 0.500 0.500 0.500 1

=====

# 2
# LiHg3H PBE relaxed
# - uncorrected energy (eV/atom) = -1.036
data_LiHg3H
_chemical_formula_sum 'Li1 Hg3 H1'
_space_group_name_H-M_alt 'P 1'
_space_group_IT_number 1
_cell_length_a 4.614
_cell_length_b 4.614
_cell_length_c 4.614
_cell_angle_alpha 90.00
_cell_angle_beta 90.00
_cell_angle_gamma 90.00
loop_
_space_group_symop_operation_xyz
'x,y,z'
loop_
_atom_site_label
_atom_site_fract_x
_atom_site_fract_y
_atom_site_fract_z
_atom_site_occupancy
H1 0.000 0.000 0.000 1
Hg1 0.000 0.500 0.000 1
Hg2 0.000 0.000 0.500 1
Hg3 0.500 0.000 0.000 1
Li1 0.500 0.500 0.500 1

=====

# 3
# La12Pr7Tm PBE relaxed
# - ΔE_f (eV per atom) = 0.168
# - energy above the most stable polymorph in this dataset (kJ/mol of formula units) = 0
data_La12Pr7Tm
_chemical_formula_sum 'La12 Pr7 Tm1'
_space_group_name_H-M_alt 'P 1'
_space_group_IT_number 1
_cell_length_a 6.482
_cell_length_b 11.646
_cell_length_c 11.646
_cell_angle_alpha 116.64
_cell_angle_beta 100.69
_cell_angle_gamma 100.69
loop_
_space_group_symop_operation_xyz
'x,y,z'
loop_
_atom_site_label
_atom_site_fract_x
_atom_site_fract_y
_atom_site_fract_z
_atom_site_occupancy
La1 0.093 0.593 0.186 1
La2 0.093 0.186 0.593 1
La3 0.570 0.644 0.000 1
La4 0.430 0.000 0.356 1
La5 0.500 0.407 0.593 1
La6 0.074 0.644 0.644 1
La7 0.926 0.356 0.356 1
La8 0.500 0.593 0.407 1
La9 0.570 0.000 0.644 1
La10 0.430 0.356 0.000 1
La11 0.907 0.814 0.407 1
La12 0.907 0.407 0.814 1
Pr1 0.116 0.747 0.000 1
Pr2 0.884 0.000 0.253 1
Pr3 0.632 0.747 0.747 1
Pr4 0.500 0.000 0.000 1
Pr5 0.368 0.253 0.253 1
Pr6 0.116 0.000 0.747 1
Pr7 0.884 0.253 0.000 1
Tm1 0.000 0.000 0.000 1